Entry 1:
Below is ScSn3Se after structural relaxation, with properties calculated at the PBE-GGA level.

Magnetization in μB per cell: 0.0
Volume in Å³/f.u.: 171
E_form (uncorrected) in eV/atom: 0.4476
E in eV/atom: -3.9174

Unit cell a=5.5476 b=5.5476 c=5.5476 alpha=90.00 beta=90.00 gamma=90.00
Closest atoms and distances in Å follow each position.
Space group Pm-3m (No. 221)
Inequivalent atoms, fractional coordinates:
Sc (0.0000, 0.0000, 0.0000)  6 Sn 2.77
Sn (0.0000, 0.0000, 0.5000)  2 Sc 2.77
Se (0.5000, 0.5000, 0.5000)  12 Sn 3.92

Entry 2:
Below is Sc2SnSe4 after structural relaxation, with properties calculated at the PBE-GGA level.

Magnetization in μB per cell: 0.0
Volume in Å³/f.u.: 173
E_form (uncorrected) in eV/atom: -1.3101
E in eV/atom: -5.6821

Unit cell a=3.9256 b=13.0135 c=13.5252 alpha=90.00 beta=90.00 gamma=90.00
Closest atoms and distances in Å follow each position.
Space group Cmcm (No. 63)
Inequivalent atoms, fractional coordinates:
Sc (0.0000, 0.1390, 0.0619)  6 Se 2.68-2.80
Sn (0.0000, 0.4077, 0.2500)  2 Se 2.81
Se (0.0000, 0.0625, 0.2500)  2 Sc 2.73, 2 Sn 2.81
Se (0.0000, 0.2318, 0.6148)  3 Sc 2.68
Se (0.0000, 0.5000, 0.0000)  4 Sc 2.80

Entry 3:
Below is ScSn3Se after structural relaxation, with properties calculated at the PBE-GGA level.

Magnetization in μB per cell: 0.0
Volume in Å³/f.u.: 159
E_form (uncorrected) in eV/atom: 0.3877
E in eV/atom: -3.9772

Unit cell a=5.4136 b=5.4136 c=5.4136 alpha=90.00 beta=90.00 gamma=90.00
Closest atoms and distances in Å follow each position.
Space group Pm-3m (No. 221)
Inequivalent atoms, fractional coordinates:
Sc (0.0000, 0.0000, 0.0000)  12 Sn 3.83
Sn (0.0000, 0.5000, 0.5000)  2 Se 2.71
Se (0.5000, 0.5000, 0.5000)  6 Sn 2.71

Entry 4:
Below is Sc2SnSe2 after structural relaxation, with properties calculated at the PBE-GGA level.

Magnetization in μB per cell: 0.0
Volume in Å³/f.u.: 129
E_form (uncorrected) in eV/atom: -0.7710
E in eV/atom: -5.4980

Unit cell a=4.6935 b=4.6935 c=11.6855 alpha=90.00 beta=90.00 gamma=90.00
Closest atoms and distances in Å follow each position.
Space group I4/mmm (No. 139)
Inequivalent atoms, fractional coordinates:
Sc (0.0000, 0.0000, 0.1397)  4 Se 2.68
Sn (0.0000, 0.0000, 0.5000)  8 Sc 3.70, 8 Se 3.75
Se (0.0000, 0.5000, 0.2500)  4 Sc 2.68

Entry 5:
Below is Sr2ScSnSe5 after structural relaxation, with properties calculated at the PBE-GGA level.

Magnetization in μB per cell: 0.0
Volume in Å³/f.u.: 250
E_form (uncorrected) in eV/atom: -1.4324
E in eV/atom: -4.8902

Unit cell a=4.1876 b=17.8863 c=13.3476 alpha=90.00 beta=90.00 gamma=90.00
Closest atoms and distances in Å follow each position.
Space group Cmc2_1 (No. 36)
Inequivalent atoms, fractional coordinates:
Sr (0.0000, 0.1088, 0.0000)  6 Se 3.06-3.29
Sr (0.0000, 0.1412, 0.6378)  8 Se 3.21-3.48
Sc (0.0000, 0.2150, 0.3539)  6 Se 2.68-2.85
Sn (0.0000, 0.4588, 0.7749)  4 Se 2.67-2.75
Se (0.0000, 0.0597, 0.4012)  2 Sn 2.71, 1 Sc 2.85
Se (0.0000, 0.2799, 0.9893)  2 Sc 2.77, 1 Sr 3.06
Se (0.0000, 0.3115, 0.7148)  1 Sn 2.75, 2 Sc 2.84
Se (0.0000, 0.3630, 0.3248)  1 Sc 2.68
Se (0.0000, 0.4905, 0.0866)  1 Sn 2.67

Entry 6:
Below is Sc6SnTe3Se2 after structural relaxation, with properties calculated at the PBE-GGA level.

Magnetization in μB per cell: 0.0
Volume in Å³/f.u.: 286
E_form (uncorrected) in eV/atom: -1.2039
E in eV/atom: -6.0695

Unit cell a=7.0210 b=12.1425 c=7.1166 alpha=90.00 beta=109.22 gamma=90.00
Closest atoms and distances in Å follow each position.
Space group C2/m (No. 12)
Inequivalent atoms, fractional coordinates:
Sc (0.2272, 0.0000, 0.2188)  2 Se 2.74, 1 Sn 2.84, 3 Te 2.94-3.00
Sc (0.2472, 0.3277, 0.2242)  2 Se 2.74-2.75, 1 Sn 2.85, 3 Te 2.96-3.02
Sn (0.0000, 0.5000, 0.0000)  6 Sc 2.84-2.85
Te (0.0000, 0.0000, 0.5000)  6 Sc 2.94-3.01
Te (0.0000, 0.3379, 0.5000)  6 Sc 2.96-3.02
Se (0.0000, 0.1677, 0.0000)  6 Sc 2.74-2.75

Entry 7:
Below is Sc2Tl2SnSe6 after structural relaxation, with properties calculated at the PBE-GGA level.

Magnetization in μB per cell: 0.0
Volume in Å³/f.u.: 318
E_form (uncorrected) in eV/atom: -0.9968
E in eV/atom: -4.8428

Unit cell a=6.8026 b=11.8756 c=8.2090 alpha=90.00 beta=106.45 gamma=90.00
Closest atoms and distances in Å follow each position.
Space group C2/m (No. 12)
Inequivalent atoms, fractional coordinates:
Sc (0.0000, 0.1706, 0.0000)  6 Se 2.73-2.78
Tl (0.0000, 0.3326, 0.5000)  6 Se 3.29-3.33
Sn (0.0000, 0.5000, 0.0000)  6 Se 2.72-2.75
Se (0.2337, 0.0000, 0.1925)  1 Sn 2.72, 2 Sc 2.78
Se (0.2364, 0.3342, 0.1962)  2 Sc 2.73-2.74, 1 Sn 2.75

Entry 8:
Below is Sc3Tl3SnSe8 after structural relaxation, with properties calculated at the PBE-GGA level.

Magnetization in μB per cell: 0.0
Volume in Å³/f.u.: 423
E_form (uncorrected) in eV/atom: -1.0712
E in eV/atom: -4.9360

Unit cell a=7.9091 b=7.9091 c=23.4009 alpha=90.00 beta=90.00 gamma=120.00
Closest atoms and distances in Å follow each position.
Space group R-3m (No. 166, hexagonal axes)
Inequivalent atoms, fractional coordinates:
Sc (0.0000, 0.5000, 0.0000)  6 Se 2.74
Tl (0.0000, 0.5000, 0.5000)  6 Se 3.30
Sn (0.0000, 0.0000, 0.0000)  6 Se 2.77
Se (0.0000, 0.0000, 0.2685)  3 Sc 2.74
Se (0.0038, 0.5019, 0.2681)  2 Sc 2.74, 1 Sn 2.77

Entry 9:
Below is Sc2Tl3SnSe6 after structural relaxation, with properties calculated at the PBE-GGA level.

Magnetization in μB per cell: 0.0
Volume in Å³/f.u.: 328
E_form (uncorrected) in eV/atom: -0.9627
E in eV/atom: -4.6854

Unit cell a=7.0446 b=12.2143 c=7.9680 alpha=90.00 beta=106.92 gamma=90.00
Closest atoms and distances in Å follow each position.
Space group C2/m (No. 12)
Inequivalent atoms, fractional coordinates:
Sc (0.0000, 0.1674, 0.0000)  6 Se 2.75-2.76
Tl (0.0000, 0.0000, 0.5000)  6 Se 3.22-3.33
Tl (0.0000, 0.3350, 0.5000)  6 Se 3.24-3.32
Sn (0.0000, 0.5000, 0.0000)  6 Se 2.86-2.88
Se (0.2185, 0.0000, 0.1963)  2 Sc 2.76, 1 Sn 2.86
Se (0.2390, 0.3267, 0.1986)  2 Sc 2.75, 1 Sn 2.88

Entry 10:
Below is Y2ScSnSe after structural relaxation, with properties calculated at the PBE-GGA level.

Magnetization in μB per cell: 0.3
Volume in Å³/f.u.: 160
E_form (uncorrected) in eV/atom: 0.3806
E in eV/atom: -4.9688

Unit cell a=5.5140 b=5.5140 c=5.2485 alpha=90.00 beta=90.00 gamma=90.00
Closest atoms and distances in Å follow each position.
Space group P4/mmm (No. 123)
Inequivalent atoms, fractional coordinates:
Y (0.0000, 0.5000, 0.0000)  2 Sc 2.76
Sc (0.0000, 0.0000, 0.0000)  2 Sn 2.62, 4 Y 2.76
Sn (0.0000, 0.0000, 0.5000)  2 Sc 2.62
Se (0.5000, 0.5000, 0.5000)  8 Y 3.81, 4 Sn 3.90

Entry 11:
Below is SrSc2Se after structural relaxation, with properties calculated at the PBE-GGA level.

Magnetization in μB per cell: 3.5
Volume in Å³/f.u.: 113
E_form (uncorrected) in eV/atom: -0.3069
E in eV/atom: -4.7642

Unit cell a=4.3584 b=4.3584 c=11.9249 alpha=90.00 beta=90.00 gamma=90.00
Closest atoms and distances in Å follow each position.
Space group I4/mmm (No. 139)
Inequivalent atoms, fractional coordinates:
Sr (0.0000, 0.0000, 0.0000)  4 Se 3.08
Sc (0.0000, 0.5000, 0.2500)  4 Sc 3.08
Se (0.0000, 0.0000, 0.5000)  4 Sr 3.08

Entry 12:
Below is SrScSe2 after structural relaxation, with properties calculated at the PBE-GGA level.

Magnetization in μB per cell: 0.0
Volume in Å³/f.u.: 126
E_form (uncorrected) in eV/atom: -1.3844
E in eV/atom: -5.1300

Unit cell a=4.0532 b=4.0532 c=26.6070 alpha=90.00 beta=90.00 gamma=120.00
Closest atoms and distances in Å follow each position.
Space group R-3m (No. 166, hexagonal axes)
Inequivalent atoms, fractional coordinates:
Sr (0.0000, 0.0000, 0.0000)  2 Se 2.98
Sc (0.0000, 0.0000, 0.5000)  6 Se 2.75
Se (0.0000, 0.0000, 0.1121)  3 Sc 2.75, 1 Sr 2.98

Entry 13:
Below is Sr2ScSe after structural relaxation, with properties calculated at the PBE-GGA level.

Magnetization in μB per cell: 3.5
Volume in Å³/f.u.: 128
E_form (uncorrected) in eV/atom: 0.0040
E in eV/atom: -3.2909

Unit cell a=8.0043 b=8.0043 c=8.0043 alpha=90.00 beta=90.00 gamma=90.00
Closest atoms and distances in Å follow each position.
Space group F-43m (No. 216)
Inequivalent atoms, fractional coordinates:
Sr (0.0000, 0.0000, 0.0000)  4 Sr 3.47, 4 Se 3.47
Sr (0.2500, 0.2500, 0.2500)  4 Sc 3.47, 4 Sr 3.47
Sc (0.0000, 0.0000, 0.5000)  4 Se 3.47, 4 Sr 3.47
Se (0.2500, 0.2500, 0.7500)  4 Sr 3.47, 4 Sc 3.47

Entry 14:
Below is SrScSe2 after structural relaxation, with properties calculated at the PBE-GGA level.

Magnetization in μB per cell: 1.7
Volume in Å³/f.u.: 102
E_form (uncorrected) in eV/atom: -1.5820
E in eV/atom: -5.3276

Unit cell a=3.7397 b=3.8655 c=14.1449 alpha=90.00 beta=90.00 gamma=90.00
Closest atoms and distances in Å follow each position.
Space group Imm2 (No. 44)
Inequivalent atoms, fractional coordinates:
Sr (0.0000, 0.0000, 0.0000)  6 Se 3.08-3.15
Sc (0.0000, 0.5000, 0.7497)  6 Se 2.76-2.89
Se (0.0000, 0.0000, 0.3935)  2 Sc 2.76, 4 Sr 3.08
Se (0.0000, 0.5000, 0.1757)  4 Sc 2.89, 2 Sr 3.15

Entry 15:
Below is Sr2ScSe after structural relaxation, with properties calculated at the PBE-GGA level.

Magnetization in μB per cell: 5.7
Volume in Å³/f.u.: 146
E_form (uncorrected) in eV/atom: -0.6423
E in eV/atom: -3.9372

Unit cell a=4.0954 b=4.0954 c=30.0648 alpha=90.00 beta=90.00 gamma=120.00
Closest atoms and distances in Å follow each position.
Space group R-3m (No. 166, hexagonal axes)
Inequivalent atoms, fractional coordinates:
Sr (0.0000, 0.0000, 0.2314)  3 Se 3.06
Sc (0.0000, 0.0000, 0.0000)  6 Sr 3.87, 6 Sc 4.10
Se (0.0000, 0.0000, 0.5000)  6 Sr 3.06

Entry 16:
Below is SrScSe2 after structural relaxation, with properties calculated at the PBE-GGA level.

Magnetization in μB per cell: 1.4
Volume in Å³/f.u.: 110
E_form (uncorrected) in eV/atom: -1.5502
E in eV/atom: -5.2958

Unit cell a=3.9688 b=3.8944 c=14.2152 alpha=90.00 beta=90.00 gamma=90.00
Closest atoms and distances in Å follow each position.
Space group Amm2 (No. 38)
Inequivalent atoms, fractional coordinates:
Sr (0.0000, 0.0000, 0.0000)  6 Se 3.02-3.33
Sc (0.5000, 0.0000, 0.7644)  5 Se 2.58-2.85
Se (0.0000, 0.0000, 0.3097)  4 Sc 2.85
Se (0.5000, 0.0000, 0.5830)  1 Sc 2.58

Entry 17:
Below is Sr2ScSe after structural relaxation, with properties calculated at the PBE-GGA level.

Magnetization in μB per cell: 1.7
Volume in Å³/f.u.: 133
E_form (uncorrected) in eV/atom: -0.3127
E in eV/atom: -3.6076

Unit cell a=4.6614 b=4.6614 c=12.2571 alpha=90.00 beta=90.00 gamma=90.00
Closest atoms and distances in Å follow each position.
Space group I-4m2 (No. 119)
Inequivalent atoms, fractional coordinates:
Sr (0.0000, 0.0000, 0.0000)  4 Se 3.30
Sr (0.0000, 0.5000, 0.2500)  4 Sc 3.30
Sc (0.0000, 0.5000, 0.7500)  4 Sr 3.30
Se (0.0000, 0.0000, 0.5000)  4 Sr 3.30

Entry 18:
Below is SrSc2Se after structural relaxation, with properties calculated at the PBE-GGA level.

Magnetization in μB per cell: 0.0
Volume in Å³/f.u.: 128
E_form (uncorrected) in eV/atom: -0.1785
E in eV/atom: -4.6359

Unit cell a=5.1087 b=5.1087 c=19.5832 alpha=90.00 beta=90.00 gamma=90.00
Closest atoms and distances in Å follow each position.
Space group I4_1/amd (No. 141, origin choice 2)
Inequivalent atoms, fractional coordinates:
Sr (0.0000, 0.2500, 0.3750)  4 Se 3.61, 8 Sc 3.76
Sc (0.0000, 0.0000, 0.0000)  2 Sc 2.55, 2 Se 2.76
Se (0.0000, 0.2500, 0.8750)  4 Sc 2.76

Entry 19:
Below is SrSc2Se after structural relaxation, with properties calculated at the PBE-GGA level.

Magnetization in μB per cell: 9.5
Volume in Å³/f.u.: 107
E_form (uncorrected) in eV/atom: -0.0186
E in eV/atom: -4.4759

Unit cell a=7.5421 b=7.5421 c=7.5421 alpha=90.00 beta=90.00 gamma=90.00
Closest atoms and distances in Å follow each position.
Space group F-43m (No. 216)
Inequivalent atoms, fractional coordinates:
Sr (0.0000, 0.0000, 0.0000)  4 Se 3.27, 4 Sc 3.27
Sc (0.0000, 0.0000, 0.5000)  4 Sc 3.27, 4 Se 3.27
Sc (0.2500, 0.2500, 0.2500)  4 Sc 3.27, 4 Sr 3.27
Se (0.2500, 0.2500, 0.7500)  4 Sc 3.27, 4 Sr 3.27

Entry 20:
Below is Sr2ScSe after structural relaxation, with properties calculated at the PBE-GGA level.

Magnetization in μB per cell: 1.5
Volume in Å³/f.u.: 136
E_form (uncorrected) in eV/atom: -0.6387
E in eV/atom: -3.9337

Unit cell a=4.2103 b=5.1216 c=12.6446 alpha=90.00 beta=90.00 gamma=90.00
Closest atoms and distances in Å follow each position.
Space group Amm2 (No. 38)
Inequivalent atoms, fractional coordinates:
Sr (0.0000, 0.0000, 0.0000)  4 Se 3.44, 3 Sc 3.67-3.70
Sr (0.5000, 0.0000, 0.3041)  1 Se 3.38, 4 Sc 3.53
Sc (0.0000, 0.0000, 0.7074)  2 Se 2.72
Se (0.5000, 0.0000, 0.5717)  2 Sc 2.72